1.
First-principles (PBE) data for a relaxed structure of CeDyHo2N4, as listed in Alexandria via LeMat-Bulk.

Cell lengths 6.0255, 3.4873, 6.0256 Å; angles 90.00, 109.31, 90.00 degrees
Last column: nearest neighbours and their distance in Å.
Fractional coordinates of all 8 atoms:
Ce 0.0000 0.0000 0.0000  6 N 2.45-2.47
Dy 0.0000 0.5000 0.5000  6 N 2.46-2.47
Ho 0.5000 0.0000 0.5000  6 N 2.46-2.47
Ho 0.5000 0.5000 0.0000  6 N 2.45-2.46
N 0.2500 0.0000 0.7522  1 Ce 2.45, 3 Ho 2.46-2.47, 2 Dy 2.47
N 0.2519 0.5000 0.2508  3 Ho 2.45-2.46, 1 Dy 2.46, 2 Ce 2.47
N 0.7481 0.5000 0.7492  3 Ho 2.45-2.46, 1 Dy 2.46, 2 Ce 2.47
N 0.7500 0.0000 0.2478  1 Ce 2.45, 3 Ho 2.46-2.47, 2 Dy 2.47

Output
**DOS(E_F)**: 0.41 states/eV/atom
**Formation energy (no corrections)**: -1.67 eV/atom
**Crystal system**: monoclinic
**E**: -8.29 eV per atom

---

2.
First-principles (PBE) data for a relaxed structure of PuV2Fe, as listed in Alexandria via LeMat-Bulk.

Cell lengths 4.3160, 4.3160, 4.3160 Å; angles 60.00, 60.00, 60.00 degrees
Last column: nearest neighbours and their distance in Å.
Fractional coordinates of all 4 atoms:
Pu 0.0000 0.0000 0.0000  8 V 2.64
V 0.2500 0.2500 0.2500  4 Fe 2.64, 4 Pu 2.64
V 0.7500 0.7500 0.7500  4 Fe 2.64, 4 Pu 2.64
Fe 0.5000 0.5000 0.5000  8 V 2.64

Output
**DOS(E_F)**: 2.81 states/eV/atom
**ΔE to the lowest computed polymorph**: 0.53 eV per formula unit
**Crystal system**: cubic
**E**: -9.98 eV per atom

---

3.
First-principles (PBE) data for a relaxed structure of CaTa2Co, as listed in Alexandria via LeMat-Bulk.

Cell lengths 2.9000, 2.9000, 9.0149 Å; angles 90.00, 90.00, 90.00 degrees
Last column: nearest neighbours and their distance in Å.
Fractional coordinates of all 4 atoms:
Ca 0.0000 0.0000 0.0000  4 Ca 2.90
Ta 0.5000 0.5000 0.3137  4 Co 2.65, 4 Ta 2.90
Ta 0.5000 0.5000 0.6863  4 Co 2.65, 4 Ta 2.90
Co 0.0000 0.0000 0.5000  8 Ta 2.65, 4 Co 2.90

Output
**DOS(E_F)**: 1.36 states/eV/atom
**ΔE to the lowest computed polymorph**: 0.70 eV per formula unit
**Crystal system**: tetragonal
**E**: -7.81 eV per atom

---

4.
First-principles (PBE) data for a relaxed structure of BaV2SnIr, as listed in Alexandria via LeMat-Bulk.

Cell lengths 4.7744, 4.7744, 5.7034 Å; angles 90.00, 90.00, 90.00 degrees
Last column: nearest neighbours and their distance in Å.
Fractional coordinates of all 5 atoms:
Ba 0.0000 0.0000 0.0000  4 V 2.39
V 0.0000 0.5000 0.0000  2 Ba 2.39
V 0.5000 0.0000 0.0000  2 Ba 2.39
Sn 0.0000 0.0000 0.5000  2 Ba 2.85
Ir 0.5000 0.5000 0.5000  4 Sn 3.38, 8 V 3.72

Output
**DOS(E_F)**: 1.05 states/eV/atom
**Crystal system**: tetragonal
**E**: -3.96 eV per atom

---

5.
First-principles (PBE) data for a relaxed structure of YNb2HgCl, as listed in Alexandria via LeMat-Bulk.

Cell lengths 5.2867, 5.2867, 5.7273 Å; angles 90.00, 90.00, 90.00 degrees
Last column: nearest neighbours and their distance in Å.
Fractional coordinates of all 5 atoms:
Y 0.0000 0.0000 0.0000  2 Hg 2.86
Nb 0.0000 0.5000 0.5000  2 Hg 2.64
Nb 0.5000 0.0000 0.5000  2 Hg 2.64
Hg 0.0000 0.0000 0.5000  4 Nb 2.64, 2 Y 2.86
Cl 0.5000 0.5000 0.0000  4 Y 3.74, 8 Nb 3.90

Output
**DOS(E_F)**: 1.31 states/eV/atom
**Formation energy (no corrections)**: 1.26 eV/atom
**Crystal system**: tetragonal
**E**: -4.49 eV per atom

---

6.
First-principles (PBE) data for a relaxed structure of TiNi4Ag, as listed in Alexandria via LeMat-Bulk.

Cell lengths 4.7565, 4.7565, 4.7565 Å; angles 60.00, 60.00, 60.00 degrees
Last column: nearest neighbours and their distance in Å.
Fractional coordinates of all 6 atoms:
Ti 0.0000 0.0000 0.0000  12 Ni 2.79, 4 Ag 2.91
Ni 0.1251 0.6250 0.6250  6 Ni 2.38
Ni 0.6250 0.1251 0.6250  6 Ni 2.38
Ni 0.6250 0.6250 0.1251  6 Ni 2.38
Ni 0.6250 0.6250 0.6250  6 Ni 2.38
Ag 0.2500 0.2500 0.2500  12 Ni 2.79, 4 Ti 2.91

Output
**DOS(E_F)**: 1.33 states/eV/atom
**Crystal system**: cubic
**E**: -5.85 eV per atom

---

7.
First-principles (PBE) data for a relaxed structure of Li9Cd3Pd2, as listed in Alexandria via LeMat-Bulk.

Cell lengths 7.7076, 7.7076, 7.7076 Å; angles 147.09, 98.07, 91.15 degrees
Last column: nearest neighbours and their distance in Å.
Fractional coordinates of all 14 atoms:
Li 0.0000 0.0000 0.0000  4 Pd 2.65, 4 Li 2.68
Li 0.0895 0.8662 0.2234  5 Li 2.64-2.89, 2 Pd 2.73
Li 0.2422 0.3724 0.8698  1 Pd 2.63, 5 Li 2.63-2.75, 2 Cd 2.90
Li 0.3572 0.1338 0.2234  5 Li 2.64-2.89, 2 Pd 2.73
Li 0.4973 0.6276 0.8698  1 Pd 2.63, 5 Li 2.63-2.75, 2 Cd 2.90
Li 0.5027 0.3724 0.1302  1 Pd 2.63, 5 Li 2.63-2.75, 2 Cd 2.90
Li 0.6428 0.8662 0.7766  5 Li 2.64-2.89, 2 Pd 2.73
Li 0.7578 0.6276 0.1302  1 Pd 2.63, 5 Li 2.63-2.75, 2 Cd 2.90
Li 0.9105 0.1338 0.7766  5 Li 2.64-2.89, 2 Pd 2.73
Cd 0.2197 0.7197 0.5000  2 Pd 2.80, 1 Cd 3.02, 4 Li 3.04
Cd 0.5000 0.0000 0.5000  12 Li 2.90-3.15, 2 Cd 3.02
Cd 0.7803 0.2803 0.5000  2 Pd 2.80, 1 Cd 3.02, 4 Li 3.04
Pd 0.1478 0.5000 0.6478  8 Li 2.63-2.73, 2 Cd 2.80
Pd 0.8522 0.5000 0.3522  8 Li 2.63-2.73, 2 Cd 2.80

Output
**DOS(E_F)**: 0.31 states/eV/atom
**Crystal system**: orthorhombic
**E**: -2.41 eV per atom

---

8.
First-principles (PBE) data for a relaxed structure of DyEr3Rh4, as listed in Alexandria via LeMat-Bulk.

Cell lengths 4.8440, 4.8440, 6.7073 Å; angles 90.00, 90.00, 90.00 degrees
Last column: nearest neighbours and their distance in Å.
Fractional coordinates of all 8 atoms:
Dy 0.0000 0.0000 0.0000  8 Rh 2.95
Er 0.0000 0.0000 0.5000  8 Rh 2.94
Er 0.5000 0.5000 0.0000  8 Rh 2.95
Er 0.5000 0.5000 0.5000  8 Rh 2.94
Rh 0.0000 0.5000 0.2513  6 Er 2.94-2.95, 2 Dy 2.95
Rh 0.0000 0.5000 0.7487  6 Er 2.94-2.95, 2 Dy 2.95
Rh 0.5000 0.0000 0.2513  6 Er 2.94-2.95, 2 Dy 2.95
Rh 0.5000 0.0000 0.7487  6 Er 2.94-2.95, 2 Dy 2.95

Output
**DOS(E_F)**: 0.49 states/eV/atom
**Crystal system**: tetragonal
**E**: -6.88 eV per atom

---

Question: Look up the DOS(E_F) of the sixth one.
Answer: 1.33 states/eV/atom